LiTmTh2 | GGA-PBE | optimized geometry

Cell: 3.423 3.423 12.615 Å, 82.20 82.20 60.00°
Sites, in units of the cell vectors:
Tm  0.500  0.500  0.500
Th  0.912  0.912  0.265
Th  0.088  0.088  0.735
Li  0.000  0.000  0.000

E above lowest polymorph (eV per atom): 0.100
ΔE_f (eV/atom): 0.24
E (eV/atom): -5.0692



LiTm2Th | GGA-PBE | optimized geometry

Cell: 3.588 5.654 5.654 Å, 90.00 90.00 90.00°
Sites, in units of the cell vectors:
Li  0.500  0.000  0.000
Tm  0.000  0.500  0.000
Tm  0.000  0.000  0.500
Th  0.500  0.500  0.500

E above lowest polymorph (eV per atom): 0.122
ΔE_f (eV/atom): 0.18
E (eV/atom): -4.3860



Li4TmTh | GGA-PBE | optimized geometry

Cell: 5.791 5.791 5.791 Å, 60.00 60.00 60.00°
Sites, in units of the cell vectors:
Tm  0.000  0.000  0.000
Li  0.625  0.124  0.625
Li  0.625  0.625  0.625
Li  0.124  0.625  0.625
Li  0.625  0.625  0.124
Th  0.250  0.250  0.250

ΔE_f (eV/atom): 0.19
E (eV/atom): -3.0657



LiTmTh | GGA-PBE | optimized geometry

Cell: 3.615 3.615 6.778 Å, 105.47 105.47 90.00°
Sites, in units of the cell vectors:
Li  0.671  0.671  0.343
Th  0.007  0.007  0.013
Tm  0.322  0.322  0.644

E above lowest polymorph (eV per atom): 0.062
ΔE_f (eV/atom): 0.12
E (eV/atom): -4.4813



LiTmTh | GGA-PBE | optimized geometry

Cell: 3.456 3.456 8.432 Å, 90.00 90.00 120.00°
Sites, in units of the cell vectors:
Li  0.000  0.000  0.995
Tm  0.333  0.667  0.669
Th  0.667  0.333  0.335

E above lowest polymorph (eV per atom): 0.081
ΔE_f (eV/atom): 0.14
E (eV/atom): -4.4625



LiTm2Th | GGA-PBE | optimized geometry

Cell: 3.458 3.458 11.402 Å, 81.28 81.28 60.00°
Sites, in units of the cell vectors:
Th  0.500  0.500  0.499
Tm  0.080  0.080  0.759
Tm  0.253  0.253  0.241
Li  0.666  0.666  0.001

E above lowest polymorph (eV per atom): 0.068
ΔE_f (eV/atom): 0.13
E (eV/atom): -4.4398



LiTmTh | GGA-PBE | optimized geometry

Cell: 3.581 3.581 12.759 Å, 90.00 90.00 90.00°
Sites, in units of the cell vectors:
Th  0.500  0.000  0.404
Th  0.000  0.500  0.596
Tm  0.500  0.000  0.785
Tm  0.000  0.500  0.215
Li  0.000  0.500  0.948
Li  0.500  0.000  0.052

E above lowest polymorph (eV per atom): 0.000
ΔE_f (eV/atom): 0.06
E (eV/atom): -4.5431



LiTmTh2 | GGA-PBE | optimized geometry

Cell: 3.476 3.476 11.633 Å, 81.41 81.41 60.00°
Sites, in units of the cell vectors:
Li  0.667  0.667  0.999
Tm  0.500  0.500  0.501
Th  0.251  0.251  0.247
Th  0.082  0.082  0.753

E above lowest polymorph (eV per atom): 0.000
ΔE_f (eV/atom): 0.14
E (eV/atom): -5.1697



Which value of ΔE_f does entry 2 give? 0.18 eV/atom